{
  "formula": "HgSe",
  "functional": "GGA-PBE",
  "state": "relaxed",
  "cell": [[-4.098, 0.099, -0.142], [-2.165, -3.363, 0.909], [-2.177, -0.161, 3.473]],
  "species": ["Hg", "Se"],
  "fractional_positions": [[0.000, 0.000, 0.000], [0.500, 0.500, 0.500]],
  "e_form_raw_ev_per_atom": -0.058,
  "dos_ef_per_ev_atom": 0.594,
  "final_energy_ev_per_cell": -3.9
}


{
  "formula": "Bi3PbO",
  "functional": "GGA-PBE",
  "state": "relaxed",
  "cell": [[5.089, 0.000, 0.000], [0.000, 5.089, 0.000], [0.000, 0.000, 5.089]],
  "species": ["Bi", "Bi", "Bi", "Pb", "O"],
  "fractional_positions": [[0.000, 0.500, 0.000], [0.500, 0.000, 0.000], [0.000, 0.000, 0.500], [0.500, 0.500, 0.500], [0.000, 0.000, 0.000]],
  "e_form_raw_ev_per_atom": -0.151,
  "dos_ef_per_ev_atom": 0.615,
  "e_above_lowest_polymorph_mev_per_atom": 0,
  "final_energy_ev_per_cell": -21.1
}